[1]
DFT (PBE) results for La6SmDyTh2 after structural relaxation.

N(E_F) = 1.590 states/eV per atom
energy of formation = 132.5 meV per atom
theoretical density = 7.55 g/cm³
crystal system = monoclinic

a b c (Å): 9.1185 14.9507 10.8001
angles (deg): 90.00 105.74 90.00
Space group C2/c (No. 15)
Symmetry-distinct sites (fractional):
La: 0.0754 0.1830 0.4562
La: 0.0899 0.4032 0.6164
La: 0.2112 0.2208 0.8322
Sm: 0.0000 0.0069 0.7500
Dy: 0.0000 0.4006 0.2500
Th: 0.2195 0.0378 0.0458



[2]
DFT (PBE) results for Rb2AuO after structural relaxation.

raw formation energy = -0.34 eV per atom
N(E_F) = 1.138 states/eV per atom
theoretical density = 5.14 g/cm³
crystal system = trigonal

a b c (Å): 3.7673 3.7673 30.2594
angles (deg): 90.00 90.00 120.00
Space group R-3m (No. 166, hexagonal axes)
Symmetry-distinct sites (fractional):
Rb: 0.0000 0.0000 0.1127
Au: 0.0000 0.0000 0.0000
O: 0.0000 0.0000 0.5000



N(E_F) of number 1 (La6SmDyTh2)? 1.590 states/eV per atom



Which value of theoretical density does entry 2 give? 5.14 g/cm³



The lowest theoretical density belongs to which entry? Rb2AuO



Please write out number 2 again, unchanged.
DFT (PBE) results for Rb2AuO after structural relaxation.

raw formation energy = -0.34 eV per atom
N(E_F) = 1.138 states/eV per atom
theoretical density = 5.14 g/cm³
crystal system = trigonal

a b c (Å): 3.7673 3.7673 30.2594
angles (deg): 90.00 90.00 120.00
Space group R-3m (No. 166, hexagonal axes)
Symmetry-distinct sites (fractional):
Rb: 0.0000 0.0000 0.1127
Au: 0.0000 0.0000 0.0000
O: 0.0000 0.0000 0.5000